# 1
The following is a DFT calculation (PBE-GGA) of an optimized crystal structure of LuAlOsRh.

The space group is F-43m (No. 216) and the conventional cell measures 6.3704, 6.3704 and 6.3704 Å, with angles of 90.00, 90.00 and 90.00 degrees. Symmetry generates all atoms from Lu at (0.0000, 0.0000, 0.0000), Al at (0.0000, 0.0000, 0.5000), Os at (0.2500, 0.2500, 0.2500) and Rh at (0.2500, 0.2500, 0.7500).

The volume is 16.16 A^3/atom. The total energy comes out at -0.535 Ry/atom. The calculation puts the calculated formation energy at -571 meV/atom.

=====

# 2
The following is a DFT calculation (PBE-GGA) of an optimized crystal structure of Dy2CdRu.

The space group is Fm-3m (No. 225) and the conventional cell measures 7.1133, 7.1133 and 7.1133 Å, with angles of 90.00, 90.00 and 90.00 degrees. Symmetry generates all atoms from Dy at (0.2500, 0.2500, 0.2500), Cd at (0.0000, 0.0000, 0.0000) and Ru at (0.0000, 0.0000, 0.5000).

The calculation puts the offset from the most stable computed form at 113 meV/atom. The volume is 22.50 A^3/atom. The total energy comes out at -0.378 Ry/atom. The calculation puts the calculated formation energy at -293 meV/atom.